Entry 1:
The following is a DFT calculation (PBE-GGA) of a relaxed structure of Na5Np3Br12.

Lattice parameters (Å, degrees): 14.975 14.975 14.975 109.47 109.47 109.47
Fractional coordinates of all 80 atoms:
Na1 0.000 0.000 0.000
Na2 0.000 0.000 0.500
Na3 0.000 0.500 0.000
Na4 0.000 0.500 0.500
Na5 0.125 0.750 0.875
Na6 0.125 0.875 0.250
Na7 0.250 0.125 0.875
Na8 0.250 0.625 0.375
Na9 0.375 0.250 0.625
Na10 0.375 0.625 0.750
Na11 0.500 0.000 0.000
Na12 0.500 0.000 0.500
Na13 0.500 0.500 0.000
Na14 0.500 0.500 0.500
Na15 0.625 0.375 0.250
Na16 0.625 0.750 0.375
Na17 0.750 0.375 0.625
Na18 0.750 0.875 0.125
Na19 0.875 0.125 0.750
Na20 0.875 0.250 0.125
Np1 0.125 0.250 0.375
Np2 0.125 0.375 0.750
Np3 0.250 0.375 0.125
Np4 0.250 0.875 0.625
Np5 0.375 0.125 0.250
Np6 0.375 0.750 0.125
Np7 0.625 0.250 0.875
Np8 0.625 0.875 0.750
Np9 0.750 0.125 0.375
Np10 0.750 0.625 0.875
Np11 0.875 0.625 0.250
Np12 0.875 0.750 0.625
Br1 0.049 0.224 0.133
Br2 0.049 0.325 0.917
Br3 0.083 0.633 0.409
Br4 0.083 0.951 0.675
Br5 0.091 0.724 0.675
Br6 0.091 0.867 0.417
Br7 0.133 0.049 0.224
Br8 0.133 0.583 0.909
Br9 0.175 0.224 0.591
Br10 0.175 0.451 0.583
Br11 0.224 0.133 0.049
Br12 0.224 0.591 0.175
Br13 0.276 0.325 0.909
Br14 0.276 0.451 0.367
Br15 0.325 0.909 0.276
Br16 0.325 0.917 0.049
Br17 0.367 0.276 0.451
Br18 0.367 0.591 0.917
Br19 0.409 0.083 0.633
Br20 0.409 0.825 0.776
Br21 0.417 0.091 0.867
Br22 0.417 0.825 0.549
Br23 0.451 0.367 0.276
Br24 0.451 0.583 0.175
Br25 0.549 0.417 0.825
Br26 0.549 0.633 0.724
Br27 0.583 0.175 0.451
Br28 0.583 0.909 0.133
Br29 0.591 0.175 0.224
Br30 0.591 0.917 0.367
Br31 0.633 0.409 0.083
Br32 0.633 0.724 0.549
Br33 0.675 0.083 0.951
Br34 0.675 0.091 0.724
Br35 0.724 0.549 0.633
Br36 0.724 0.675 0.091
Br37 0.776 0.409 0.825
Br38 0.776 0.867 0.951
Br39 0.825 0.549 0.417
Br40 0.825 0.776 0.409
Br41 0.867 0.417 0.091
Br42 0.867 0.951 0.776
Br43 0.909 0.133 0.583
Br44 0.909 0.276 0.325
Br45 0.917 0.049 0.325
Br46 0.917 0.367 0.591
Br47 0.951 0.675 0.083
Br48 0.951 0.776 0.867


Entry 2:
The following is a DFT calculation (PBE-GGA) of a relaxed structure of Sm3Dy2Tm3.

Calculated values
The calculation puts the polymorph energy (0 for the lowest one) at 0.0726 eV/atom. As for the formation energy: 0.095 eV/atom.

Lattice parameters (Å, degrees): 8.538 8.538 6.005 109.47 109.47 38.90
Fractional coordinates of all 8 atoms:
Sm1 0.000 0.000 0.000
Sm2 0.134 0.134 0.697
Sm3 0.866 0.866 0.303
Dy1 0.250 0.250 0.319
Dy2 0.750 0.750 0.681
Tm1 0.368 0.368 0.921
Tm2 0.500 0.500 0.500
Tm3 0.632 0.632 0.079


Entry 3:
The following is a DFT calculation (PBE-GGA) of a relaxed structure of RbCrPdS3.

Lattice parameters (Å, degrees): 7.797 7.797 9.665 90.00 90.00 153.24
Fractional coordinates of all 12 atoms:
Rb1 0.247 0.753 0.750
Rb2 0.753 0.247 0.250
Cr1 0.000 0.000 0.000
Cr2 0.000 0.000 0.500
Pd1 0.469 0.531 0.250
Pd2 0.531 0.469 0.750
S1 0.067 0.933 0.250
S2 0.394 0.606 0.037
S3 0.394 0.606 0.463
S4 0.606 0.394 0.537
S5 0.606 0.394 0.963
S6 0.933 0.067 0.750


Entry 4:
The following is a DFT calculation (PBE-GGA) of a relaxed structure of PtRhBr2.

Calculated values
The calculation puts the polymorph energy (0 for the lowest one) at 0.5768 eV/atom.

Lattice parameters (Å, degrees): 5.201 5.025 4.565 65.48 61.53 53.00
Fractional coordinates of all 4 atoms:
Pt1 0.000 0.000 0.000
Rh1 0.500 0.500 0.500
Br1 0.000 0.500 0.500
Br2 0.500 0.000 0.000


Entry 5:
The following is a DFT calculation (PBE-GGA) of a relaxed structure of Zr5Tl2Co2.

Calculated values
As for the formation energy: -0.181 eV/atom.

Lattice parameters (Å, degrees): 8.426 8.426 6.589 90.00 90.00 54.83
Fractional coordinates of all 18 atoms:
Zr1 0.000 0.000 0.000
Zr2 0.069 0.710 0.652
Zr3 0.210 0.569 0.152
Zr4 0.290 0.931 0.652
Zr5 0.431 0.790 0.152
Zr6 0.500 0.500 0.500
Zr7 0.569 0.210 0.848
Zr8 0.710 0.069 0.348
Zr9 0.790 0.431 0.848
Zr10 0.931 0.290 0.348
Tl1 0.219 0.219 0.000
Tl2 0.281 0.281 0.500
Tl3 0.719 0.719 0.500
Tl4 0.781 0.781 0.000
Co1 0.119 0.881 0.363
Co2 0.381 0.619 0.863
Co3 0.619 0.381 0.137
Co4 0.881 0.119 0.637


Entry 6:
The following is a DFT calculation (PBE-GGA) of a relaxed structure of TcSbS2N.

Calculated values
The calculation puts the polymorph energy (0 for the lowest one) at 0.0000 eV/atom.

Lattice parameters (Å, degrees): 4.870 4.870 3.727 90.00 90.00 90.00
Fractional coordinates of all 5 atoms:
Tc1 0.000 0.000 0.000
Sb1 0.500 0.500 0.500
S1 0.000 0.500 0.000
S2 0.500 0.000 0.000
N1 0.000 0.000 0.500


Entry 7:
The following is a DFT calculation (PBE-GGA) of a relaxed structure of KRePCl2.

Calculated values
The calculation puts the polymorph energy (0 for the lowest one) at 0.0000 eV/atom.

Lattice parameters (Å, degrees): 5.148 5.148 4.565 90.00 90.00 90.00
Fractional coordinates of all 5 atoms:
K1 0.000 0.000 0.000
Re1 0.500 0.500 0.500
P1 0.500 0.500 0.000
Cl1 0.000 0.500 0.500
Cl2 0.500 0.000 0.500


Entry 8:
The following is a DFT calculation (PBE-GGA) of a relaxed structure of YMn2Fe.

Calculated values
The calculation puts the polymorph energy (0 for the lowest one) at 0.4527 eV/atom. As for the formation energy: 0.623 eV/atom.

Lattice parameters (Å, degrees): 8.339 8.339 8.339 149.86 149.86 43.15
Fractional coordinates of all 8 atoms:
Y1 0.375 0.625 0.750
Y2 0.625 0.375 0.250
Mn1 0.000 0.000 0.000
Mn2 0.000 0.000 0.500
Mn3 0.000 0.500 0.000
Mn4 0.500 0.000 0.500
Fe1 0.125 0.875 0.250
Fe2 0.875 0.125 0.750


Entry 9:
The following is a DFT calculation (PBE-GGA) of a relaxed structure of Mg8In2Ga.

Calculated values
As for the formation energy: -0.063 eV/atom.

Lattice parameters (Å, degrees): 8.360 8.360 7.170 105.56 105.56 30.59
Fractional coordinates of all 11 atoms:
Mg1 0.043 0.043 0.235
Mg2 0.136 0.136 0.682
Mg3 0.322 0.322 0.587
Mg4 0.409 0.409 0.049
Mg5 0.591 0.591 0.951
Mg6 0.678 0.678 0.413
Mg7 0.864 0.864 0.318
Mg8 0.957 0.957 0.765
In1 0.223 0.223 0.148
In2 0.777 0.777 0.852
Ga1 0.500 0.500 0.500


Entry 10:
The following is a DFT calculation (PBE-GGA) of a relaxed structure of Mn2ZnOs.

Calculated values
As for the formation energy: 0.126 eV/atom.

Lattice parameters (Å, degrees): 4.375 4.375 2.845 90.00 90.00 90.00
Fractional coordinates of all 4 atoms:
Mn1 0.000 0.500 0.000
Mn2 0.500 0.000 0.000
Zn1 0.000 0.000 0.500
Os1 0.500 0.500 0.500


Entry 11:
The following is a DFT calculation (PBE-GGA) of a relaxed structure of MgTeSe2.

Calculated values
The calculation puts the polymorph energy (0 for the lowest one) at 0.2643 eV/atom.

Lattice parameters (Å, degrees): 3.408 3.532 8.254 90.00 90.00 90.00
Fractional coordinates of all 4 atoms:
Mg1 0.000 0.000 0.000
Te1 0.000 0.000 0.500
Se1 0.500 0.500 0.157
Se2 0.500 0.500 0.843


Entry 12:
The following is a DFT calculation (PBE-GGA) of a relaxed structure of SrMg2Ir.

Calculated values
As for the formation energy: -0.092 eV/atom.

Lattice parameters (Å, degrees): 3.331 3.331 8.367 90.00 90.00 90.00
Fractional coordinates of all 4 atoms:
Sr1 0.000 0.000 0.000
Mg1 0.500 0.500 0.332
Mg2 0.500 0.500 0.668
Ir1 0.000 0.000 0.500


Entry 13:
The following is a DFT calculation (PBE-GGA) of a relaxed structure of AgBr3O.

Calculated values
The calculation puts the polymorph energy (0 for the lowest one) at 0.0000 eV/atom.

Lattice parameters (Å, degrees): 4.799 4.799 4.799 90.00 90.00 90.00
Fractional coordinates of all 5 atoms:
Ag1 0.000 0.000 0.000
Br1 0.000 0.500 0.500
Br2 0.500 0.000 0.500
Br3 0.500 0.500 0.000
O1 0.500 0.500 0.500


Entry 14:
The following is a DFT calculation (PBE-GGA) of a relaxed structure of Rb2ZnCdH6.

Lattice parameters (Å, degrees): 5.838 5.838 5.838 119.84 119.84 90.27
Fractional coordinates of all 10 atoms:
Rb1 0.250 0.750 0.500
Rb2 0.750 0.250 0.500
Zn1 0.000 0.000 0.000
Cd1 0.500 0.500 0.000
H1 0.204 0.204 0.000
H2 0.256 0.256 0.513
H3 0.256 0.744 0.000
H4 0.744 0.256 0.000
H5 0.744 0.744 0.487
H6 0.796 0.796 0.000


Entry 15:
The following is a DFT calculation (PBE-GGA) of a relaxed structure of CrIrPb2.

Calculated values
The calculation puts the polymorph energy (0 for the lowest one) at 0.3793 eV/atom. As for the formation energy: 0.637 eV/atom.

Lattice parameters (Å, degrees): 4.907 4.907 4.907 60.00 60.00 60.00
Fractional coordinates of all 4 atoms:
Cr1 0.000 0.000 0.000
Ir1 0.750 0.750 0.750
Pb1 0.250 0.250 0.250
Pb2 0.500 0.500 0.500


Entry 16:
The following is a DFT calculation (PBE-GGA) of a relaxed structure of AlZn2Os.

Calculated values
As for the formation energy: 0.134 eV/atom.

Lattice parameters (Å, degrees): 8.794 8.794 8.794 18.41 18.41 18.41
Fractional coordinates of all 4 atoms:
Al1 0.000 0.000 0.000
Zn1 0.248 0.248 0.248
Zn2 0.752 0.752 0.752
Os1 0.500 0.500 0.500


Entry 17:
The following is a DFT calculation (PBE-GGA) of a relaxed structure of TbPd7Pt2.

Calculated values
As for the formation energy: 0.117 eV/atom.

Lattice parameters (Å, degrees): 7.381 7.381 4.533 90.00 90.00 121.18
Fractional coordinates of all 10 atoms:
Tb1 0.000 0.000 0.000
Pd1 0.070 0.294 0.500
Pd2 0.211 0.789 0.000
Pd3 0.294 0.070 0.500
Pd4 0.500 0.500 0.500
Pd5 0.706 0.930 0.500
Pd6 0.789 0.211 0.000
Pd7 0.930 0.706 0.500
Pt1 0.301 0.699 0.500
Pt2 0.699 0.301 0.500


Entry 18:
The following is a DFT calculation (PBE-GGA) of a relaxed structure of Np3NbPt12.

Calculated values
As for the formation energy: -0.585 eV/atom.

Lattice parameters (Å, degrees): 4.116 4.116 16.616 90.00 90.00 90.00
Fractional coordinates of all 16 atoms:
Np1 0.000 0.000 0.000
Np2 0.000 0.000 0.253
Np3 0.000 0.000 0.747
Nb1 0.000 0.000 0.500
Pt1 0.000 0.500 0.127
Pt2 0.000 0.500 0.386
Pt3 0.000 0.500 0.614
Pt4 0.000 0.500 0.873
Pt5 0.500 0.000 0.127
Pt6 0.500 0.000 0.386
Pt7 0.500 0.000 0.614
Pt8 0.500 0.000 0.873
Pt9 0.500 0.500 0.000
Pt10 0.500 0.500 0.258
Pt11 0.500 0.500 0.500
Pt12 0.500 0.500 0.742


Across the entries above, spin magnetization takes the values 0.700; 0.000; 0.325; 0.000; 0.000; 0.000; 0.318; 0.044; 0.000; 1.488; 0.000; 0.000; 0.000; 0.000; 0.879; 0.000; 0.000; 0.238 μB per atom, respectively.
Across the entries above, total DFT energy (no corrections) takes the values -4.535; -4.502; -5.266; -3.641; -7.035; -5.980; -4.848; -7.693; -1.996; -7.585; -3.145; -3.525; -2.123; -2.452; -5.839; -4.246; -5.190; -8.171 eV/atom, respectively.